Record 1
# TbPm4Mg3

TbPm4Mg3 after structural relaxation (PBE, the Alexandria database).

Unit cell a=3.8410 b=5.5727 c=11.2313 alpha=90.00 beta=90.00 gamma=90.00
Fractional positions:
Mg (0.5000, 0.0000, 0.2507)
Mg (0.5000, 0.5000, 0.5000)
Mg (0.5000, 0.0000, 0.7493)
Tb (0.5000, 0.5000, 0.0000)
Pm (0.0000, 0.0000, 0.5000)
Pm (0.0000, 0.5000, 0.7386)
Pm (0.0000, 0.0000, 0.0000)
Pm (0.0000, 0.5000, 0.2614)

As for the formation enthalpy at 0 K: -0.036 eV/atom.


Record 2
# Li2Mg3Pt2

Li2Mg3Pt2 after structural relaxation (PBE, the Alexandria database).

Unit cell a=4.3090 b=5.1514 c=5.5313 alpha=87.08 beta=90.00 gamma=114.72
Fractional positions:
Li (0.8730, 0.7459, 0.5408)
Li (0.1270, 0.2541, 0.4592)
Mg (0.0000, 0.0000, 0.0000)
Mg (0.6955, 0.3910, 0.1843)
Mg (0.3045, 0.6090, 0.8157)
Pt (0.5993, 0.1986, 0.7172)
Pt (0.4007, 0.8014, 0.2828)

As for the formation enthalpy at 0 K: -0.546 eV/atom.